[1]
DFT (PBE-GGA) results for a relaxed structure of ZrNpH4.

Cell lengths 3.3892, 3.3892, 5.4142 Å; angles 90.00, 90.00, 90.00 degrees
Space group P4/mmm (No. 123)
Asymmetric unit:
Zr 0.0000 0.0000 0.0000 x1
Np 0.5000 0.5000 0.5000 x1
H 0.0000 0.5000 0.2215 x4

Summary:
Crystal system   tetragonal
DOS(E_F)   4.91 states/eV per cell
Electronic total energy   -6.18 eV/atom

=====

[2]
DFT (PBE-GGA) results for a relaxed structure of CaZrRe3.

Cell lengths 4.9020, 4.9020, 4.9020 Å; angles 90.00, 90.00, 90.00 degrees
Space group Pm-3m (No. 221)
Asymmetric unit:
Ca 0.0000 0.0000 0.0000 x1
Zr 0.5000 0.5000 0.5000 x1
Re 0.0000 0.5000 0.5000 x3

Summary:
Crystal system   cubic
Energy of formation from the pure elements   1996 meV/atom
DOS(E_F)   5.07 states/eV per cell

=====

[3]
DFT (PBE-GGA) results for a relaxed structure of MgCr2Tc.

Cell lengths 5.2338, 8.6475, 2.5556 Å; angles 90.00, 109.17, 90.00 degrees
Space group C2/m (No. 12)
Asymmetric unit:
Mg 0.0000 0.0000 0.0000 x2
Cr 0.2500 0.2500 0.5000 x4
Tc 0.0000 0.5000 0.0000 x2

Summary:
Crystal system   monoclinic
Energy of formation from the pure elements   375 meV/atom
DOS(E_F)   8.72 states/eV per cell

=====

[4]
DFT (PBE-GGA) results for a relaxed structure of K4TlCd.

Cell lengths 10.6072, 10.6072, 10.6072 Å; angles 90.00, 90.00, 90.00 degrees
Space group F-43m (No. 216)
Asymmetric unit:
K 0.1249 0.1249 0.1249 x16
Tl 0.2500 0.2500 0.7500 x4
Cd 0.0000 0.0000 0.5000 x4

Summary:
Crystal system   cubic
Energy of formation from the pure elements   239 meV/atom
DOS(E_F)   26.13 states/eV per cell

=====

[5]
DFT (PBE-GGA) results for a relaxed structure of OsCl.

Cell lengths 5.1541, 5.1541, 4.5275 Å; angles 90.00, 90.00, 120.00 degrees
Space group P-62m (No. 189)
Asymmetric unit:
Os 0.0000 0.5885 0.0000 x3
Cl 0.0000 0.6753 0.5000 x3

Summary:
Crystal system   hexagonal
Uncorrected formation energy   845 meV per atom
DOS(E_F)   5.78 states/eV per cell

=====

[6]
DFT (PBE-GGA) results for a relaxed structure of LiTe.

Cell lengths 4.0310, 4.0310, 5.7274 Å; angles 90.00, 90.00, 90.00 degrees
Space group P4/nmm (No. 129, origin choice 2)
Asymmetric unit:
Li 0.2500 0.2500 0.2300 x2
Te 0.2500 0.2500 0.7304 x2

Summary:
Crystal system   tetragonal
Uncorrected formation energy   -497 meV per atom
DOS(E_F)   3.66 states/eV per cell

=====

[7]
DFT (PBE-GGA) results for a relaxed structure of CaDy3Ga2.

Cell lengths 5.0986, 9.1569, 6.6899 Å; angles 90.00, 90.00, 90.00 degrees
Space group Pmc2_1 (No. 26)
Asymmetric unit:
Ca 0.0000 0.0438 0.0000 x2
Dy 0.0000 0.3261 0.6749 x2
Dy 0.5000 0.1719 0.2941 x2
Dy 0.5000 0.4601 0.9714 x2
Ga 0.0000 0.3492 0.2144 x2
Ga 0.5000 0.1595 0.7508 x2

Summary:
Crystal system   orthorhombic
Energy of formation from the pure elements   -405 meV/atom
DOS(E_F)   8.07 states/eV per cell

=====

[8]
DFT (PBE-GGA) results for a relaxed structure of LiAl2Cl.

Cell lengths 3.2786, 5.2348, 8.7305 Å; angles 90.00, 90.00, 90.00 degrees
Space group Cmmm (No. 65)
Asymmetric unit:
Li 0.0000 0.0000 0.0000 x2
Al 0.0000 0.5000 0.2521 x4
Cl 0.0000 0.0000 0.5000 x2

Summary:
Crystal system   orthorhombic
Uncorrected formation energy   -57 meV per atom
DOS(E_F)   2.86 states/eV per cell